An optimized crystal structure of Lu3Sb4Au3, computed with PBE.

**Crystal system**: cubic
**Raw formation energy**: -0.727 eV/atom

a = 8.526 Å, b = 8.526 Å, c = 8.526 Å
α = 109.47°, β = 109.47°, γ = 109.47°
Sites, in units of the cell vectors:
Lu: 0.125 0.875 0.250
Lu: 0.250 0.125 0.875
Lu: 0.375 0.625 0.750
Lu: 0.625 0.750 0.375
Lu: 0.750 0.375 0.625
Lu: 0.875 0.250 0.125
Sb: 0.000 0.182 0.500
Sb: 0.000 0.682 0.500
Sb: 0.182 0.500 0.000
Sb: 0.318 0.318 0.318
Sb: 0.500 0.000 0.182
Sb: 0.500 0.000 0.682
Sb: 0.682 0.500 0.000
Sb: 0.818 0.818 0.818
Au: 0.125 0.750 0.875
Au: 0.250 0.625 0.375
Au: 0.375 0.250 0.625
Au: 0.625 0.375 0.250
Au: 0.750 0.875 0.125
Au: 0.875 0.125 0.750

---

An optimized crystal structure of GdPdAu2, computed with PBE.

**Crystal system**: tetragonal
**E_form**: -0.653 eV/atom

a = 3.780 Å, b = 3.780 Å, c = 5.620 Å
α = 90.00°, β = 90.00°, γ = 90.00°
Sites, in units of the cell vectors:
Gd: 0.000 0.000 0.000
Pd: 0.000 0.000 0.500
Au: 0.500 0.500 0.259
Au: 0.500 0.500 0.741

---

An optimized crystal structure of LiThSbPd, computed with PBE.

**Crystal system**: cubic
**Raw formation energy**: -0.592 eV/atom

a = 5.085 Å, b = 5.085 Å, c = 5.085 Å
α = 60.00°, β = 60.00°, γ = 60.00°
Sites, in units of the cell vectors:
Li: 0.000 0.000 0.000
Th: 0.500 0.500 0.500
Sb: 0.750 0.750 0.750
Pd: 0.250 0.250 0.250

---

An optimized crystal structure of LiLuPt, computed with PBE.

**Crystal system**: hexagonal
**E_form**: -0.763 eV/atom

a = 4.269 Å, b = 4.269 Å, c = 3.535 Å
α = 90.00°, β = 90.00°, γ = 120.00°
Sites, in units of the cell vectors:
Li: 0.000 0.000 0.000
Lu: 0.667 0.333 0.500
Pt: 0.333 0.667 0.000

---

An optimized crystal structure of Li2Pm4C, computed with PBE.

**Crystal system**: tetragonal
**E_form**: 0.146 eV/atom

a = 8.366 Å, b = 8.366 Å, c = 8.366 Å
α = 144.33°, β = 144.33°, γ = 51.34°
Sites, in units of the cell vectors:
Li: 0.134 0.134 0.000
Li: 0.866 0.866 0.000
Pm: 0.000 0.500 0.500
Pm: 0.335 0.335 0.000
Pm: 0.500 0.000 0.500
Pm: 0.665 0.665 0.000
C: 0.500 0.500 0.000

---

An optimized crystal structure of La3PbN, computed with PBE.

**Crystal system**: orthorhombic
**Raw formation energy**: -0.859 eV/atom

a = 3.728 Å, b = 5.069 Å, c = 7.211 Å
α = 90.00°, β = 90.00°, γ = 90.00°
Sites, in units of the cell vectors:
La: 0.000 0.000 0.000
La: 0.500 0.500 0.245
La: 0.500 0.500 0.755
Pb: 0.000 0.000 0.500
N: 0.000 0.500 0.000

---

An optimized crystal structure of NdDyMg2, computed with PBE.

**Crystal system**: cubic
**E_form**: -0.101 eV/atom

a = 5.422 Å, b = 5.422 Å, c = 5.422 Å
α = 60.00°, β = 60.00°, γ = 60.00°
Sites, in units of the cell vectors:
Nd: 0.000 0.000 0.000
Dy: 0.500 0.500 0.500
Mg: 0.250 0.250 0.250
Mg: 0.750 0.750 0.750

---

An optimized crystal structure of NaPu2ZnO8, computed with PBE.

**Crystal system**: trigonal
**Raw formation energy**: -1.595 eV/atom

a = 5.937 Å, b = 5.937 Å, c = 5.756 Å
α = 90.00°, β = 90.00°, γ = 120.00°
Sites, in units of the cell vectors:
Na: 0.000 0.000 0.000
Pu: 0.333 0.667 0.933
Pu: 0.667 0.333 0.067
Zn: 0.000 0.000 0.500
O: 0.060 0.383 0.152
O: 0.323 0.940 0.152
O: 0.333 0.667 0.614
O: 0.383 0.323 0.848
O: 0.617 0.677 0.152
O: 0.667 0.333 0.386
O: 0.677 0.060 0.848
O: 0.940 0.617 0.848

---

An optimized crystal structure of BaHAu, computed with PBE.

**Crystal system**: trigonal

a = 4.722 Å, b = 4.722 Å, c = 8.578 Å
α = 90.00°, β = 90.00°, γ = 120.00°
Sites, in units of the cell vectors:
Ba: 0.000 0.000 0.247
Ba: 0.000 0.000 0.753
H: 0.333 0.667 0.847
H: 0.667 0.333 0.153
Au: 0.333 0.667 0.494
Au: 0.667 0.333 0.506

---

An optimized crystal structure of Cs4NaAu, computed with PBE.

**Crystal system**: monoclinic
**E_form**: -0.100 eV/atom

a = 10.719 Å, b = 10.719 Å, c = 8.531 Å
α = 102.50°, β = 102.50°, γ = 111.36°
Sites, in units of the cell vectors:
Cs: 0.058 0.736 0.941
Cs: 0.201 0.350 0.643
Cs: 0.264 0.942 0.559
Cs: 0.350 0.201 0.143
Cs: 0.650 0.799 0.857
Cs: 0.736 0.058 0.441
Cs: 0.799 0.650 0.357
Cs: 0.942 0.264 0.059
Na: 0.372 0.628 0.250
Na: 0.628 0.372 0.750
Au: 0.001 0.999 0.250
Au: 0.999 0.001 0.750

---

An optimized crystal structure of LiNdGdSn, computed with PBE.

**Crystal system**: cubic
**E_form**: -0.431 eV/atom

a = 5.337 Å, b = 5.337 Å, c = 5.337 Å
α = 60.00°, β = 60.00°, γ = 60.00°
Sites, in units of the cell vectors:
Li: 0.000 0.000 0.000
Nd: 0.250 0.250 0.250
Gd: 0.750 0.750 0.750
Sn: 0.500 0.500 0.500

---

An optimized crystal structure of YHo2Er6Tm, computed with PBE.

**Crystal system**: monoclinic
**E_form**: 0.118 eV/atom

a = 8.699 Å, b = 8.699 Å, c = 9.444 Å
α = 93.79°, β = 93.79°, γ = 118.18°
Sites, in units of the cell vectors:
Y: 0.022 0.978 0.750
Y: 0.978 0.022 0.250
Ho: 0.197 0.306 0.544
Ho: 0.306 0.197 0.044
Ho: 0.694 0.803 0.956
Ho: 0.803 0.694 0.456
Er: 0.019 0.570 0.686
Er: 0.128 0.751 0.057
Er: 0.249 0.872 0.443
Er: 0.289 0.502 0.881
Er: 0.430 0.981 0.814
Er: 0.498 0.711 0.619
Er: 0.502 0.289 0.381
Er: 0.570 0.019 0.186
Er: 0.711 0.498 0.119
Er: 0.751 0.128 0.557
Er: 0.872 0.249 0.943
Er: 0.981 0.430 0.314
Tm: 0.409 0.591 0.250
Tm: 0.591 0.409 0.750

---

The records above give, respectively, DFT total energy values of -94.31, -28.44, -21.02, -14.77, -31.03, -31.11, -12.96, -90.06, -19.71, -17.22, -26.49, -92.57 eV per cell.